Run w
Compound: YCd2Bi2
Source: the Alexandria database
Functional: GGA-PBE
Structure: optimized geometry

abc: 8.329 8.329 4.178
angles: 90.00 90.00 90.00
Fractional positions:
Y (0.000, 0.000, 0.000)
Y (0.500, 0.500, 0.000)
Bi (0.348, 0.848, 0.000)
Bi (0.848, 0.652, 0.000)
Bi (0.652, 0.152, 0.000)
Bi (0.152, 0.348, 0.000)
Cd (0.151, 0.651, 0.500)
Cd (0.651, 0.849, 0.500)
Cd (0.849, 0.349, 0.500)
Cd (0.349, 0.151, 0.500)

=====

Run x
Compound: YCd2Bi2
Source: the Alexandria database
Functional: GGA-PBE
Structure: optimized geometry

abc: 4.150 4.150 9.288
angles: 77.09 77.09 90.00
Fractional positions:
Y (0.000, 0.000, 0.000)
Bi (0.410, 0.410, 0.179)
Bi (0.590, 0.590, 0.821)
Cd (0.750, 0.250, 0.500)
Cd (0.250, 0.750, 0.500)

=====

Run y
Compound: YCd2Bi2
Source: the Alexandria database
Functional: GGA-PBE
Structure: optimized geometry

abc: 4.784 4.784 7.442
angles: 71.25 71.25 90.00
Fractional positions:
Y (0.000, 0.000, 0.000)
Bi (0.750, 0.250, 0.500)
Bi (0.250, 0.750, 0.500)
Cd (0.400, 0.400, 0.199)
Cd (0.600, 0.600, 0.801)

=====

Relative to the most stable structure, the computed energies are run w 9.5; run x 0.0; run y 22.2, all in kJ/mol of atoms.

=====

Run w
Compound: YCdBi3
Source: the Alexandria database
Functional: GGA-PBE
Structure: optimized geometry

abc: 5.612 5.612 5.612
angles: 90.00 90.00 90.00
Fractional positions:
Y (0.500, 0.500, 0.500)
Bi (0.000, 0.500, 0.000)
Bi (0.000, 0.000, 0.500)
Bi (0.500, 0.000, 0.000)
Cd (0.000, 0.000, 0.000)

=====

Run x
Compound: YCdBi3
Source: the Alexandria database
Functional: GGA-PBE
Structure: optimized geometry

abc: 5.904 5.904 5.904
angles: 90.00 90.00 90.00
Fractional positions:
Y (0.000, 0.000, 0.000)
Bi (0.000, 0.500, 0.000)
Bi (0.000, 0.000, 0.500)
Bi (0.500, 0.000, 0.000)
Cd (0.500, 0.500, 0.500)

=====

Relative to the most stable structure, the computed energies are run w 6.5; run x 0.0, all in kJ/mol of atoms.

=====

Run w
Compound: ZnCd2Bi
Source: the Alexandria database
Functional: GGA-PBE
Structure: optimized geometry

abc: 3.315 3.315 11.254
angles: 81.53 81.53 60.00
Fractional positions:
Zn (0.000, 0.000, 0.000)
Bi (0.500, 0.500, 0.500)
Cd (0.081, 0.081, 0.758)
Cd (0.919, 0.919, 0.242)

=====

Run x
Compound: ZnCd2Bi
Source: the Alexandria database
Functional: GGA-PBE
Structure: optimized geometry

abc: 3.465 3.465 7.947
angles: 90.00 90.00 90.00
Fractional positions:
Zn (0.500, 0.500, 0.000)
Bi (0.500, 0.500, 0.500)
Cd (0.000, 0.000, 0.796)
Cd (0.000, 0.000, 0.204)

=====

Relative to the most stable structure, the computed energies are run w 6.7; run x 0.0, all in kJ/mol of atoms.

=====

Run w
Compound: ZnCd2Bi
Source: the Alexandria database
Functional: GGA-PBE
Structure: optimized geometry

abc: 4.441 4.653 4.653
angles: 90.00 90.00 90.00
Fractional positions:
Zn (0.500, 0.000, 0.000)
Bi (0.500, 0.500, 0.500)
Cd (0.000, 0.000, 0.500)
Cd (0.000, 0.500, 0.000)

=====

Run x
Compound: ZnCd2Bi
Source: the Alexandria database
Functional: GGA-PBE
Structure: optimized geometry

abc: 4.615 4.615 6.120
angles: 67.85 67.85 60.00
Fractional positions:
Zn (0.672, 0.672, 0.983)
Cd (0.060, 0.060, 0.820)
Cd (0.272, 0.272, 0.184)
Bi (0.496, 0.496, 0.513)

=====

Relative to the most stable structure, the computed energies are run w 3.0; run x 0.0, all in kJ/mol of atoms.

=====

Run w
Compound: ZnCd2Bi
Source: the Alexandria database
Functional: GGA-PBE
Structure: optimized geometry

abc: 5.197 5.197 5.197
angles: 60.00 60.00 60.00
Fractional positions:
Zn (0.000, 0.000, 0.000)
Bi (0.500, 0.500, 0.500)
Cd (0.250, 0.250, 0.250)
Cd (0.750, 0.750, 0.750)

=====

Run x
Compound: ZnCd2Bi
Source: the Alexandria database
Functional: GGA-PBE
Structure: optimized geometry

abc: 4.748 4.748 9.944
angles: 76.19 76.19 90.00
Fractional positions:
Zn (0.500, 0.500, 0.000)
Zn (0.250, 0.750, 0.500)
Bi (0.000, 0.000, 0.000)
Bi (0.750, 0.250, 0.500)
Cd (0.559, 0.125, 0.250)
Cd (0.191, 0.625, 0.250)
Cd (0.375, 0.441, 0.750)
Cd (0.875, 0.809, 0.750)

=====

Relative to the most stable structure, the computed energies are run w 1.9; run x 0.0, all in kJ/mol of atoms.

=====

Run w
Compound: Zn2Cd2Bi
Source: the Alexandria database
Functional: GGA-PBE
Structure: optimized geometry

abc: 4.197 4.197 7.023
angles: 72.61 72.61 90.00
Fractional positions:
Zn (0.402, 0.402, 0.195)
Zn (0.598, 0.598, 0.805)
Bi (0.000, 0.000, 0.000)
Cd (0.750, 0.250, 0.500)
Cd (0.250, 0.750, 0.500)

=====

Run x
Compound: Zn2Cd2Bi
Source: the Alexandria database
Functional: GGA-PBE
Structure: optimized geometry

abc: 4.099 4.099 7.383
angles: 73.88 73.88 90.00
Fractional positions:
Zn (0.750, 0.250, 0.500)
Zn (0.250, 0.750, 0.500)
Bi (0.000, 0.000, 0.000)
Cd (0.392, 0.392, 0.216)
Cd (0.608, 0.608, 0.784)

=====

Run y
Compound: Zn2Cd2Bi
Source: the Alexandria database
Functional: GGA-PBE
Structure: optimized geometry

abc: 8.116 8.116 3.370
angles: 90.00 90.00 90.00
Fractional positions:
Zn (0.383, 0.883, 0.000)
Zn (0.883, 0.617, 0.000)
Zn (0.617, 0.117, 0.000)
Zn (0.117, 0.383, 0.000)
Bi (0.000, 0.000, 0.000)
Bi (0.500, 0.500, 0.000)
Cd (0.179, 0.679, 0.500)
Cd (0.679, 0.821, 0.500)
Cd (0.821, 0.321, 0.500)
Cd (0.321, 0.179, 0.500)

=====

Run z
Compound: Zn2Cd2Bi
Source: the Alexandria database
Functional: GGA-PBE
Structure: optimized geometry

abc: 8.269 8.269 3.281
angles: 90.00 90.00 90.00
Fractional positions:
Zn (0.168, 0.668, 0.500)
Zn (0.668, 0.832, 0.500)
Zn (0.832, 0.332, 0.500)
Zn (0.332, 0.168, 0.500)
Bi (0.000, 0.000, 0.000)
Bi (0.500, 0.500, 0.000)
Cd (0.370, 0.870, 0.000)
Cd (0.870, 0.630, 0.000)
Cd (0.630, 0.130, 0.000)
Cd (0.130, 0.370, 0.000)

=====

Relative to the most stable structure, the computed energies are run w 0.6; run x 1.5; run y 0.0; run z 2.5, all in kJ/mol of atoms.